No. 1
{"formula": "Hf2AgAsPd", "functional": "PBE-GGA", "state": "optimized geometry", "dft_energy_ev_per_cell": -30.2, "magnetic_moment_mub_per_cell": 0.00, "delta_e_f_kj_per_mol_atoms": 46.7, "cell": [[4.953, 0.000, 0.000], [0.000, 4.950, 0.000], [0.000, 0.000, 4.953]], "species": ["As", "Hf", "Ag", "Hf", "Pd"], "frac_coords": [[0.500, 0.500, 0.500], [0.000, 0.000, 0.500], [0.000, 0.500, 0.000], [0.500, 0.000, 0.000], [0.000, 0.000, 0.000]]}

=====

No. 2
{"formula": "Mg2ZrCd", "functional": "PBE-GGA", "state": "optimized geometry", "dft_energy_ev_per_cell": -12.5, "magnetic_moment_mub_per_cell": 0.00, "delta_e_f_kj_per_mol_atoms": 2.5, "cell": [[-4.597, 1.963, 2.164], [-5.138, -0.957, 1.534], [0.776, -1.326, 5.474]], "species": ["Mg", "Zr", "Cd", "Mg"], "frac_coords": [[0.745, 0.745, 0.760], [0.504, 0.504, 0.491], [0.257, 0.257, 0.256], [0.994, 0.994, 0.992]]}

=====

No. 3
{"formula": "MnSnMo2C", "functional": "PBE-GGA", "state": "optimized geometry", "dft_energy_ev_per_cell": -43.7, "magnetic_moment_mub_per_cell": 2.04, "delta_e_f_kj_per_mol_atoms": 7.6, "cell": [[-3.332, -1.730, 1.981], [2.626, -2.013, 2.658], [-0.134, 3.087, 2.470]], "species": ["Mo", "Sn", "Mo", "C", "Mn"], "frac_coords": [[0.500, 0.000, 0.000], [0.500, 0.500, 0.500], [0.000, 0.500, 0.000], [0.000, 0.000, 0.000], [0.000, 0.000, 0.500]]}

=====

No. 4
{"formula": "Sr4La3NpN8", "functional": "PBE-GGA", "state": "optimized geometry", "dft_energy_ev_per_cell": -117.3, "raw_formation_energy_kcal_per_mol_atoms": -23.37, "magnetic_moment_mub_per_cell": 0.09, "cell": [[7.417, 0.000, 0.000], [0.000, 7.408, -0.012], [-3.709, -3.705, 5.246]], "species": ["La", "N", "N", "N", "La", "N", "La", "Sr", "Sr", "N", "Sr", "Sr", "Np", "N", "N", "N"], "frac_coords": [[0.500, 0.500, 0.500], [0.221, 0.298, 0.009], [0.789, 0.298, 0.009], [0.788, 0.298, 0.577], [0.500, 0.500, 0.000], [0.259, 0.278, 0.519], [0.000, 0.500, 0.500], [0.500, 0.000, 0.500], [0.000, 0.000, 0.000], [0.779, 0.702, 0.991], [0.500, 0.000, 0.000], [0.000, 0.000, 0.500], [0.000, 0.500, 0.000], [0.741, 0.722, 0.481], [0.212, 0.702, 0.423], [0.211, 0.702, 0.991]]}

=====

No. 5
{"formula": "Zr2InCu", "functional": "PBE-GGA", "state": "optimized geometry", "dft_energy_ev_per_cell": -24.2, "magnetic_moment_mub_per_cell": 0.00, "delta_e_f_kj_per_mol_atoms": -7.4, "cell": [[5.499, -0.014, 0.000], [2.357, 4.968, 0.000], [-3.928, -2.477, 2.945]], "species": ["Zr", "In", "Zr", "Cu"], "frac_coords": [[0.000, 0.000, 0.000], [0.750, 0.250, 0.500], [0.250, 0.750, 0.500], [0.500, 0.500, 0.000]]}

=====

No. 6
{"formula": "Ce2S2O", "functional": "PBE-GGA", "state": "optimized geometry", "dft_energy_ev_per_cell": -75.1, "raw_formation_energy_kcal_per_mol_atoms": -57.51, "magnetic_moment_mub_per_cell": 3.93, "cell": [[3.829, 0.000, -1.018], [0.000, 7.145, 0.000], [0.040, 0.000, 7.860]], "species": ["S", "Ce", "S", "S", "S", "Ce", "Ce", "O", "Ce", "O"], "frac_coords": [[0.958, 0.720, 0.917], [0.835, 0.013, 0.671], [0.042, 0.220, 0.083], [0.203, 0.900, 0.405], [0.797, 0.400, 0.595], [0.555, 0.919, 0.111], [0.445, 0.419, 0.889], [0.597, 0.582, 0.194], [0.165, 0.513, 0.329], [0.403, 0.082, 0.806]]}

=====

No. 7
{"formula": "K3Ho3InS8", "functional": "PBE-GGA", "state": "optimized geometry", "dft_energy_ev_per_cell": -75.6, "raw_formation_energy_kcal_per_mol_atoms": -35.07, "magnetic_moment_mub_per_cell": 0.00, "cell": [[7.913, -0.001, 0.000], [-3.957, 6.862, -0.029], [0.000, -4.547, 7.561]], "species": ["S", "Ho", "Ho", "S", "S", "In", "S", "K", "S", "S", "K", "Ho", "S", "K", "S"], "frac_coords": [[0.266, 0.533, 0.299], [0.000, 0.500, 0.500], [0.500, 0.500, 0.500], [0.230, 0.967, 0.697], [0.230, 0.459, 0.697], [0.000, 0.000, 0.500], [0.770, 0.541, 0.303], [0.000, 0.000, 0.000], [0.734, 0.467, 0.701], [0.738, 0.967, 0.697], [0.500, 0.500, 0.000], [0.500, 0.000, 0.500], [0.770, 0.033, 0.303], [0.000, 0.500, 0.000], [0.262, 0.033, 0.303]]}

=====

No. 8
{"formula": "SrZn3Ni", "functional": "PBE-GGA", "state": "optimized geometry", "dft_energy_ev_per_cell": -12.3, "magnetic_moment_mub_per_cell": 0.00, "delta_e_f_kj_per_mol_atoms": -18.7, "cell": [[-3.243, 2.904, -1.755], [-3.391, -2.858, 1.538], [-0.117, 2.331, 4.073]], "species": ["Zn", "Sr", "Ni", "Zn", "Zn"], "frac_coords": [[0.500, 0.000, 0.000], [0.500, 0.500, 0.500], [0.000, 0.000, 0.000], [0.000, 0.000, 0.500], [0.000, 0.500, 0.000]]}

=====

No. 9
{"formula": "YPaRh2", "functional": "PBE-GGA", "state": "optimized geometry", "dft_energy_ev_per_cell": -68.3, "magnetic_moment_mub_per_cell": 0.00, "delta_e_f_kj_per_mol_atoms": -84.0, "cell": [[-2.569, 2.622, -1.667], [-4.569, -3.390, 1.708], [1.585, 5.059, 5.515]], "species": ["Rh", "Pa", "Pa", "Rh", "Rh", "Y", "Rh", "Y"], "frac_coords": [[0.750, 0.177, 0.765], [0.250, 0.283, 0.573], [0.750, 0.717, 0.427], [0.250, 0.823, 0.235], [0.250, 0.793, 0.678], [0.750, 0.724, 0.936], [0.750, 0.207, 0.322], [0.250, 0.276, 0.064]]}

=====

No. 10
{"formula": "V2SbIrS", "functional": "PBE-GGA", "state": "optimized geometry", "dft_energy_ev_per_cell": -31.2, "raw_formation_energy_kcal_per_mol_atoms": 18.95, "magnetic_moment_mub_per_cell": 5.03, "cell": [[4.885, 0.000, 0.000], [0.000, 4.893, 0.000], [0.000, 0.000, 4.885]], "species": ["V", "Ir", "S", "Sb", "V"], "frac_coords": [[0.500, 0.000, 0.000], [0.000, 0.000, 0.000], [0.500, 0.500, 0.500], [0.000, 0.500, 0.000], [0.000, 0.000, 0.500]]}

=====

No. 11
{"formula": "Cs2RbCdSb2", "functional": "PBE-GGA", "state": "optimized geometry", "dft_energy_ev_per_cell": -27.8, "raw_formation_energy_kcal_per_mol_atoms": -7.88, "magnetic_moment_mub_per_cell": 0.00, "cell": [[8.915, 0.000, 0.000], [0.000, 7.724, 0.000], [-4.457, -3.862, 8.250]], "species": ["Sb", "Cs", "Cs", "Cd", "Sb", "Cs", "Rb", "Rb", "Sb", "Cs", "Cd", "Sb"], "frac_coords": [[0.401, 0.591, 0.181], [0.118, 0.328, 0.655], [0.463, 0.172, 0.345], [0.500, 0.750, 0.000], [0.599, 0.409, 0.819], [0.882, 0.672, 0.345], [0.000, 0.750, 0.000], [0.000, 0.250, 0.000], [0.220, 0.909, 0.819], [0.537, 0.828, 0.655], [0.500, 0.250, 0.000], [0.780, 0.091, 0.181]]}

=====

No. 12
{"formula": "BeCr2Ir", "functional": "PBE-GGA", "state": "optimized geometry", "dft_energy_ev_per_cell": -31.9, "magnetic_moment_mub_per_cell": 0.00, "delta_e_f_kj_per_mol_atoms": -2.6, "cell": [[-3.968, -0.985, 2.040], [0.625, -1.274, -4.344], [0.979, -2.272, 0.807]], "species": ["Be", "Ir", "Cr", "Cr"], "frac_coords": [[0.000, 0.500, 0.500], [0.500, 0.000, 0.500], [0.500, 0.500, 0.000], [0.000, 0.000, 0.000]]}

=====

No. 13
{"formula": "K2RhO4", "functional": "PBE-GGA", "state": "optimized geometry", "dft_energy_ev_per_cell": -35.9, "raw_formation_energy_kcal_per_mol_atoms": -21.48, "magnetic_moment_mub_per_cell": 1.04, "cell": [[-3.850, -2.287, 4.051], [-3.737, -1.993, -4.305], [6.165, -2.057, 0.011]], "species": ["O", "K", "K", "Rh", "O", "O", "O"], "frac_coords": [[0.702, 0.954, 0.000], [0.768, 0.232, 0.500], [0.268, 0.732, 0.500], [0.997, 0.003, 0.000], [0.046, 0.298, 0.000], [0.271, 0.052, 0.323], [0.948, 0.729, 0.677]]}

=====

No. 14
{"formula": "AlBC", "functional": "PBE-GGA", "state": "optimized geometry", "dft_energy_ev_per_cell": -77.2, "magnetic_moment_mub_per_cell": 0.00, "delta_e_f_kj_per_mol_atoms": 11.3, "cell": [[-2.809, -0.290, 1.666], [1.362, -1.362, 2.059], [4.900, 10.681, 3.825]], "species": ["B", "C", "Al", "Al", "Al", "B", "B", "C", "B", "C", "C", "Al"], "frac_coords": [[0.285, 0.000, 0.967], [0.494, 0.000, 0.676], [0.617, 0.000, 0.301], [0.871, 0.000, 0.551], [0.871, 0.500, 0.051], [0.285, 0.500, 0.467], [0.430, 0.500, 0.611], [0.216, 0.000, 0.403], [0.430, 0.000, 0.111], [0.494, 0.500, 0.176], [0.216, 0.500, 0.903], [0.617, 0.500, 0.801]]}

=====

No. 15
{"formula": "LiInOs2", "functional": "PBE-GGA", "state": "optimized geometry", "dft_energy_ev_per_cell": -25.7, "magnetic_moment_mub_per_cell": 0.00, "delta_e_f_kj_per_mol_atoms": 34.9, "cell": [[-1.690, -3.207, -2.639], [1.740, -1.853, 1.138], [-3.028, -1.432, 3.680]], "species": ["Li", "Os", "In", "Os"], "frac_coords": [[0.500, 0.750, 0.750], [0.000, 0.529, 0.530], [0.500, 0.250, 0.250], [0.000, 0.971, 0.970]]}

=====

No. 16
{"formula": "ThNbFeGe2", "functional": "PBE-GGA", "state": "optimized geometry", "dft_energy_ev_per_cell": -37.4, "magnetic_moment_mub_per_cell": 2.50, "delta_e_f_kj_per_mol_atoms": -42.5, "cell": [[-1.627, 2.460, -2.808], [1.945, -2.056, -2.928], [-4.716, -3.794, 2.362]], "species": ["Fe", "Ge", "Th", "Ge", "Nb"], "frac_coords": [[0.750, 0.250, 0.500], [0.387, 0.387, 0.774], [0.000, 0.000, 0.000], [0.613, 0.613, 0.226], [0.250, 0.750, 0.500]]}

=====

No. 17
{"formula": "K2BaFeMo", "functional": "PBE-GGA", "state": "optimized geometry", "dft_energy_ev_per_cell": -17.4, "magnetic_moment_mub_per_cell": 2.63, "delta_e_f_kj_per_mol_atoms": 115.5, "cell": [[6.343, 0.000, 0.000], [0.000, 4.459, 0.000], [0.000, 0.000, 6.343]], "species": ["Ba", "K", "K", "Mo", "Fe"], "frac_coords": [[0.500, 0.500, 0.500], [0.000, 0.000, 0.500], [0.500, 0.000, 0.000], [0.000, 0.500, 0.000], [0.000, 0.000, 0.000]]}

=====

No. 18
{"formula": "Ba2SrLiTi", "functional": "PBE-GGA", "state": "optimized geometry", "dft_energy_ev_per_cell": -10.9, "magnetic_moment_mub_per_cell": 0.38, "delta_e_f_kj_per_mol_atoms": 84.6, "cell": [[-5.861, 1.105, 1.554], [0.518, -3.915, 4.739], [1.835, 4.633, 3.627]], "species": ["Li", "Ba", "Ba", "Sr", "Ti"], "frac_coords": [[0.000, 0.000, 0.000], [0.000, 0.000, 0.500], [0.500, 0.000, 0.000], [0.000, 0.500, 0.000], [0.500, 0.500, 0.500]]}

=====

No. 19
{"formula": "NbSiC2", "functional": "PBE-GGA", "state": "optimized geometry", "dft_energy_ev_per_cell": -66.0, "raw_formation_energy_kcal_per_mol_atoms": 5.56, "magnetic_moment_mub_per_cell": 0.00, "cell": [[-0.888, -2.067, -4.234], [-1.728, -3.866, 2.250], [-5.246, -1.222, -1.018]], "species": ["Nb", "C", "Si", "Si", "C", "C", "Nb", "C"], "frac_coords": [[0.750, 0.250, 0.500], [0.375, 0.414, 0.750], [0.500, 0.500, 0.000], [0.250, 0.750, 0.500], [0.164, 0.625, 0.250], [0.586, 0.125, 0.250], [0.000, 0.000, 0.000], [0.875, 0.836, 0.750]]}

=====

No. 20
{"formula": "La2DyZn", "functional": "PBE-GGA", "state": "optimized geometry", "dft_energy_ev_per_cell": -15.7, "magnetic_moment_mub_per_cell": 0.00, "delta_e_f_kj_per_mol_atoms": 0.8, "cell": [[5.534, 0.000, 0.000], [2.767, 4.793, 0.000], [2.767, 1.598, 4.519]], "species": ["La", "Zn", "Dy", "La"], "frac_coords": [[0.250, 0.250, 0.250], [0.500, 0.500, 0.500], [0.000, 0.000, 0.000], [0.750, 0.750, 0.750]]}